A geometry-optimized MnSbO2 structure. Source: Alexandria, functional GGA+U.

Results
Density: 5.2 g cm⁻³
Uncorrected energy: -50.5 eV/cell

Structure (POSCAR):
```
MnSbO2
1.0
-4.233 2.047 2.222
-0.136 -3.950 3.380
0.658 1.584 5.879
Sb O Mn
2 4 2
Direct
0.000 0.000 0.000
0.750 0.250 0.500
0.875 0.832 0.750
0.375 0.418 0.750
0.582 0.125 0.250
0.168 0.625 0.250
0.250 0.750 0.500
0.500 0.500 0.000
```